(1)
{"formula": "VAsSN2", "functional": "PBE", "state": "optimized geometry", "lattice": [[3.7099, 0.0000, 0.0000], [0.0000, 3.7099, 0.0000], [0.0000, 0.0000, 4.9553]], "species": ["V", "As", "S", "N", "N"], "frac_coords": [[0.0000, 0.0000, 0.0000], [0.5000, 0.5000, 0.5000], [0.5000, 0.5000, 0.0000], [0.0000, 0.5000, 0.5000], [0.5000, 0.0000, 0.5000]], "final_energy_ev_per_atom": -5.819, "polymorph_energy_mev_per_atom": 602}

***

(2)
{"formula": "VAsS2N", "functional": "PBE", "state": "optimized geometry", "lattice": [[4.7428, 0.0000, 0.0000], [0.0000, 4.7428, 0.0000], [0.0000, 0.0000, 3.5985]], "species": ["V", "As", "S", "S", "N"], "frac_coords": [[0.0000, 0.0000, 0.0000], [0.5000, 0.5000, 0.5000], [0.0000, 0.5000, 0.0000], [0.5000, 0.0000, 0.0000], [0.0000, 0.0000, 0.5000]], "final_energy_ev_per_atom": -5.873, "polymorph_energy_mev_per_atom": 0}

***

(3)
{"formula": "YAsS2N", "functional": "PBE", "state": "optimized geometry", "lattice": [[4.8318, 0.0000, 0.0000], [0.0000, 4.8318, 0.0000], [0.0000, 0.0000, 3.7781]], "species": ["Y", "As", "S", "S", "N"], "frac_coords": [[0.0000, 0.0000, 0.0000], [0.5000, 0.5000, 0.5000], [0.0000, 0.5000, 0.5000], [0.5000, 0.0000, 0.5000], [0.5000, 0.5000, 0.0000]], "final_energy_ev_per_atom": -5.744, "polymorph_energy_mev_per_atom": 0}

***

(4)
{"formula": "YAsSN2", "functional": "PBE", "state": "optimized geometry", "lattice": [[4.2733, 0.0000, 0.0000], [0.0000, 4.2733, 0.0000], [0.0000, 0.0000, 5.4854]], "species": ["Y", "As", "S", "N", "N"], "frac_coords": [[0.0000, 0.0000, 0.0000], [0.5000, 0.5000, 0.5000], [0.0000, 0.0000, 0.5000], [0.0000, 0.5000, 0.0000], [0.5000, 0.0000, 0.0000]], "final_energy_ev_per_atom": -5.329, "polymorph_energy_mev_per_atom": 934}

***

(5)
{"formula": "Y6AsS2N2", "functional": "PBE", "state": "optimized geometry", "lattice": [[3.2196, -5.6593, 0.0000], [3.2196, 5.6593, 0.0000], [-2.1465, 0.0000, 6.2265]], "species": ["Y", "Y", "Y", "Y", "Y", "Y", "As", "S", "S", "N", "N"], "frac_coords": [[0.0675, 0.4257, 0.7783], [0.2264, 0.2264, 0.2123], [0.4257, 0.0675, 0.7783], [0.5743, 0.9325, 0.2217], [0.7736, 0.7736, 0.7877], [0.9325, 0.5743, 0.2217], [0.0000, 0.0000, 0.5000], [0.3388, 0.6612, 0.5000], [0.6612, 0.3388, 0.5000], [0.1654, 0.8346, 0.0000], [0.8346, 0.1654, 0.0000]], "final_energy_ev_per_atom": -7.788}

***

(6)
{"formula": "YAsSN2", "functional": "PBE", "state": "optimized geometry", "lattice": [[3.8998, 0.0000, 0.0000], [0.0000, 3.8998, 0.0000], [0.0000, 0.0000, 4.7885]], "species": ["Y", "As", "S", "N", "N"], "frac_coords": [[0.0000, 0.0000, 0.0000], [0.5000, 0.5000, 0.5000], [0.5000, 0.5000, 0.0000], [0.0000, 0.5000, 0.5000], [0.5000, 0.0000, 0.5000]], "final_energy_ev_per_atom": -6.263, "polymorph_energy_mev_per_atom": 0}

***

(7)
{"formula": "YAsS2N", "functional": "PBE", "state": "optimized geometry", "lattice": [[5.2757, 0.0000, 0.0000], [0.0000, 5.2757, 0.0000], [0.0000, 0.0000, 4.3503]], "species": ["Y", "As", "S", "S", "N"], "frac_coords": [[0.0000, 0.0000, 0.0000], [0.5000, 0.5000, 0.5000], [0.0000, 0.5000, 0.0000], [0.5000, 0.0000, 0.0000], [0.0000, 0.0000, 0.5000]], "final_energy_ev_per_atom": -5.073, "polymorph_energy_mev_per_atom": 670}

***

(8)
{"formula": "ZnAsSN2", "functional": "PBE", "state": "optimized geometry", "lattice": [[3.8813, 0.0000, 0.0000], [0.0000, 3.8813, 0.0000], [0.0000, 0.0000, 5.1954]], "species": ["Zn", "As", "S", "N", "N"], "frac_coords": [[0.0000, 0.0000, 0.0000], [0.5000, 0.5000, 0.5000], [0.0000, 0.0000, 0.5000], [0.0000, 0.5000, 0.0000], [0.5000, 0.0000, 0.0000]], "final_energy_ev_per_atom": -3.783, "polymorph_energy_mev_per_atom": 497}

***

(9)
{"formula": "ZnAsSN2", "functional": "PBE", "state": "optimized geometry", "lattice": [[3.6133, 0.0000, 0.0000], [0.0000, 3.6133, 0.0000], [0.0000, 0.0000, 5.8285]], "species": ["Zn", "As", "S", "N", "N"], "frac_coords": [[0.0000, 0.0000, 0.0000], [0.5000, 0.5000, 0.5000], [0.5000, 0.5000, 0.0000], [0.0000, 0.5000, 0.5000], [0.5000, 0.0000, 0.5000]], "final_energy_ev_per_atom": -4.280, "polymorph_energy_mev_per_atom": 0}

***

(10)
{"formula": "ZrAsSN2", "functional": "PBE", "state": "optimized geometry", "lattice": [[3.8567, 0.0000, 0.0000], [0.0000, 3.8567, 0.0000], [0.0000, 0.0000, 4.5957]], "species": ["Zr", "As", "S", "N", "N"], "frac_coords": [[0.0000, 0.0000, 0.0000], [0.5000, 0.5000, 0.5000], [0.5000, 0.5000, 0.0000], [0.0000, 0.5000, 0.5000], [0.5000, 0.0000, 0.5000]], "final_energy_ev_per_atom": -6.241, "polymorph_energy_mev_per_atom": 0}

***

(11)
{"formula": "ZrAsSN2", "functional": "PBE", "state": "optimized geometry", "lattice": [[4.1126, 0.0000, 0.0000], [0.0000, 4.1126, 0.0000], [0.0000, 0.0000, 5.3078]], "species": ["Zr", "As", "S", "N", "N"], "frac_coords": [[0.0000, 0.0000, 0.0000], [0.5000, 0.5000, 0.5000], [0.0000, 0.0000, 0.5000], [0.0000, 0.5000, 0.0000], [0.5000, 0.0000, 0.0000]], "final_energy_ev_per_atom": -6.222, "polymorph_energy_mev_per_atom": 19}

***

(12)
{"formula": "Sb3AsN", "functional": "PBE", "state": "optimized geometry", "lattice": [[5.3237, 0.0000, 0.0000], [0.0000, 5.3237, 0.0000], [0.0000, 0.0000, 5.3237]], "species": ["Sb", "Sb", "Sb", "As", "N"], "frac_coords": [[0.0000, 0.0000, 0.5000], [0.0000, 0.5000, 0.0000], [0.5000, 0.0000, 0.0000], [0.0000, 0.0000, 0.0000], [0.5000, 0.5000, 0.5000]], "final_energy_ev_per_atom": -3.207, "polymorph_energy_mev_per_atom": 1203}